Density functional theory data (PBE) for a relaxed structure of Ni3PdPt12.

E (eV/cell): -96.03
Formation enthalpy at 0 K (eV/f.u.): -1.01
Total magnetic moment (Bohr magnetons per cell): 4.037
V (Å³ per cell): 238.25

Unit cell a=3.898 b=3.898 c=15.681 alpha=90.00 beta=90.00 gamma=90.00
Space group P4/mmm (No. 123)
Unique sites:
Ni  0.000  0.000  0.000 (multiplicity 1)
Ni  0.000  0.000  0.247 (multiplicity 2)
Pd  0.000  0.000  0.500 (multiplicity 1)
Pt  0.000  0.500  0.123 (multiplicity 4)
Pt  0.000  0.500  0.369 (multiplicity 4)
Pt  0.500  0.500  0.000 (multiplicity 1)
Pt  0.500  0.500  0.246 (multiplicity 2)
Pt  0.500  0.500  0.500 (multiplicity 1)

***

Density functional theory data (PBE) for a relaxed structure of NiPd2Pt9.

E (eV/cell): -71.08
Formation enthalpy at 0 K (eV/f.u.): -0.55
Total magnetic moment (Bohr magnetons per cell): 2.176
V (Å³ per cell): 183.67

Unit cell a=3.938 b=3.938 c=11.845 alpha=90.00 beta=90.00 gamma=90.00
Space group P4/mmm (No. 123)
Unique sites:
Ni  0.000  0.000  0.000 (multiplicity 1)
Pd  0.000  0.000  0.330 (multiplicity 2)
Pt  0.000  0.500  0.160 (multiplicity 4)
Pt  0.000  0.500  0.500 (multiplicity 2)
Pt  0.500  0.500  0.000 (multiplicity 1)
Pt  0.500  0.500  0.330 (multiplicity 2)

***

Density functional theory data (PBE) for a relaxed structure of Ni2PdPt.

E (eV/cell): -22.94
Formation enthalpy at 0 K (eV/f.u.): -0.14
Total magnetic moment (Bohr magnetons per cell): 2.394
V (Å³ per cell): 53.56

Unit cell a=3.845 b=3.845 c=3.622 alpha=90.00 beta=90.00 gamma=90.00
Space group P4/mmm (No. 123)
Unique sites:
Ni  0.000  0.500  0.000 (multiplicity 2)
Pd  0.000  0.000  0.500 (multiplicity 1)
Pt  0.500  0.500  0.500 (multiplicity 1)

***

Density functional theory data (PBE) for a relaxed structure of Ni3Pd2Pt6.

E (eV/cell): -64.35
Formation enthalpy at 0 K (eV/f.u.): -0.37
Total magnetic moment (Bohr magnetons per cell): 4.963
V (Å³ per cell): 159.81

Unit cell a=4.758 b=6.090 c=6.124 alpha=107.26 beta=105.07 gamma=97.00
Space group P-1 (No. 2)
Unique sites:
Ni  0.000  0.000  0.000 (multiplicity 1)
Ni  0.362  0.276  0.454 (multiplicity 2)
Pd  0.462  0.086  0.814 (multiplicity 2)
Pt  0.091  0.824  0.364 (multiplicity 2)
Pt  0.182  0.638  0.725 (multiplicity 2)
Pt  0.274  0.449  0.099 (multiplicity 2)

***

Density functional theory data (PBE) for a relaxed structure of Ni2PdPt.

E (eV/cell): -85.22
Formation enthalpy at 0 K (eV/f.u.): 1.49
Total magnetic moment (Bohr magnetons per cell): 7.072
V (Å³ per cell): 235.56

Unit cell a=6.687 b=6.687 c=5.268 alpha=90.00 beta=90.00 gamma=90.00
Space group I-42d (No. 122)
Unique sites:
Ni  0.246  0.250  0.125 (multiplicity 8)
Pd  0.000  0.000  0.500 (multiplicity 4)
Pt  0.000  0.000  0.000 (multiplicity 4)

***

Density functional theory data (PBE) for a relaxed structure of Ni4Pd2Pt3.

E (eV/cell): -103.69
Formation enthalpy at 0 K (eV/f.u.): -0.21
Total magnetic moment (Bohr magnetons per cell): 9.044
V (Å³ per cell): 246.97

Unit cell a=11.326 b=3.785 c=6.059 alpha=90.00 beta=108.05 gamma=90.00
Space group C2/m (No. 12)
Unique sites:
Ni  0.111  0.000  0.173 (multiplicity 4)
Ni  0.171  0.500  0.503 (multiplicity 4)
Pd  0.228  0.000  0.825 (multiplicity 4)
Pt  0.000  0.000  0.500 (multiplicity 2)
Pt  0.050  0.500  0.830 (multiplicity 4)

***

Density functional theory data (PBE) for a relaxed structure of Ni3PdPt2.

E (eV/cell): -137.41
Formation enthalpy at 0 K (eV/f.u.): 0.27
Total magnetic moment (Bohr magnetons per cell): 12.455
V (Å³ per cell): 332.07
Relative energy among the computed polymorphs (meV/atom): 3.6

Unit cell a=8.060 b=8.354 c=4.932 alpha=90.00 beta=90.00 gamma=90.00
Space group Cmcm (No. 63)
Unique sites:
Ni  0.000  0.000  0.000 (multiplicity 4)
Ni  0.169  0.500  0.000 (multiplicity 8)
Pd  0.000  0.276  0.250 (multiplicity 4)
Pt  0.167  0.223  0.750 (multiplicity 8)

***

Density functional theory data (PBE) for a relaxed structure of Ni2Pd2Pt.

E (eV/cell): -53.88
Formation enthalpy at 0 K (eV/f.u.): 1.05
Total magnetic moment (Bohr magnetons per cell): 4.884
V (Å³ per cell): 143.13
Relative energy among the computed polymorphs (meV/atom): 234.4

Unit cell a=7.193 b=7.193 c=2.766 alpha=90.00 beta=90.00 gamma=90.00
Space group P4/mbm (No. 127)
Unique sites:
Ni  0.165  0.335  0.000 (multiplicity 4)
Pd  0.133  0.633  0.500 (multiplicity 4)
Pt  0.000  0.000  0.500 (multiplicity 2)

***

Density functional theory data (PBE) for a relaxed structure of Ni5Pd2Pt4.

E (eV/cell): -124.08
Formation enthalpy at 0 K (eV/f.u.): 1.42
Total magnetic moment (Bohr magnetons per cell): 12.339
V (Å³ per cell): 319.44

Unit cell a=13.641 b=3.804 c=6.158 alpha=90.00 beta=91.38 gamma=90.00
Space group C2/m (No. 12)
Unique sites:
Ni  0.000  0.000  0.000 (multiplicity 2)
Ni  0.111  0.500  0.103 (multiplicity 4)
Ni  0.210  0.500  0.433 (multiplicity 4)
Pd  0.084  0.000  0.393 (multiplicity 4)
Pt  0.059  0.500  0.710 (multiplicity 4)
Pt  0.248  0.000  0.157 (multiplicity 4)

***

Density functional theory data (PBE) for a relaxed structure of Ni2Pd2Pt.

E (eV/cell): -54.56
Formation enthalpy at 0 K (eV/f.u.): 0.71
Total magnetic moment (Bohr magnetons per cell): 4.785
V (Å³ per cell): 140.86
Relative energy among the computed polymorphs (meV/atom): 166.1

Unit cell a=6.943 b=6.943 c=2.922 alpha=90.00 beta=90.00 gamma=90.00
Space group P4/mbm (No. 127)
Unique sites:
Ni  0.123  0.377  0.000 (multiplicity 4)
Pd  0.173  0.673  0.500 (multiplicity 4)
Pt  0.000  0.000  0.000 (multiplicity 2)